No. 1
VASP calculation (PBE) on Rb2Tl2Au after structural relaxation.

Cell and atoms, written as POSCAR:
```
Rb2Tl2Au
1.0
5.3371 0.0000 0.0000
0.0000 5.3371 0.0000
2.6686 2.6686 7.8467
Tl Rb Au
2 2 1
direct
0.5898 0.5898 0.8203
0.4102 0.4102 0.1797
0.7500 0.2500 0.5000
0.2500 0.7500 0.5000
0.0000 0.0000 0.0000
```

Formation energy = 33.7 kJ per mole of atoms
Space-group type = I4/mmm (139)
Energy above the most stable polymorph in this dataset = 493 meV per atom
Crystal system = tetragonal
D(E_F) = 0.710 states/eV per atom
Energy = -1.640 eV/atom

---

No. 2
VASP calculation (PBE) on Rb3Tl5Au2 after structural relaxation.

Cell and atoms, written as POSCAR:
```
Rb3Tl5Au2
1.0
-7.1462 0.9192 -2.4407
-6.2454 -7.8267 3.4833
-6.1012 4.1937 7.5883
Tl Au Rb
10 4 6
direct
0.2500 0.5000 0.5000
0.4957 0.2543 0.2543
0.8805 0.4733 0.7658
0.7500 0.5000 0.5000
0.5043 0.7457 0.7457
0.9957 0.2543 0.2543
0.6195 0.2342 0.5267
0.1195 0.5267 0.2342
0.3805 0.7658 0.4733
0.0043 0.7457 0.7457
0.1536 0.7144 0.9785
0.6536 0.9785 0.7144
0.8464 0.2856 0.0215
0.3464 0.0215 0.2856
0.2500 0.0000 0.0000
0.8663 0.8747 0.3928
0.6337 0.6072 0.1253
0.7500 0.0000 0.0000
0.1337 0.1253 0.6072
0.3663 0.3928 0.8747
```

Formation energy = -14.6 kJ per mole of atoms
Space-group type = Ibam (72)
Crystal system = orthorhombic
D(E_F) = 0.384 states/eV per atom
Energy = -2.280 eV/atom

---

No. 3
VASP calculation (PBE) on Rb3TlAu after structural relaxation.

Cell and atoms, written as POSCAR:
```
Rb3TlAu
1.0
6.6111 0.0000 0.0000
0.0000 6.6111 0.0000
0.0000 0.0000 6.6111
Rb Tl Au
3 1 1
direct
0.5000 0.0000 0.0000
0.0000 0.0000 0.5000
0.0000 0.5000 0.0000
0.5000 0.5000 0.5000
0.0000 0.0000 0.0000
```

Formation energy = -1.1 kJ per mole of atoms
Space-group type = Pm-3m (221)
Energy above the most stable polymorph in this dataset = 132 meV per atom
Crystal system = cubic
D(E_F) = 0.734 states/eV per atom
Energy = -1.721 eV/atom

---

No. 4
VASP calculation (PBE) on Rb2Tl2Au after structural relaxation.

Cell and atoms, written as POSCAR:
```
Rb2Tl2Au
1.0
8.9784 0.0000 0.0000
0.0000 8.9784 0.0000
0.0000 0.0000 5.9928
Rb Tl Au
4 4 2
direct
0.1779 0.3221 0.0000
0.6779 0.1779 0.0000
0.8221 0.6779 0.0000
0.3221 0.8221 0.0000
0.1258 0.6258 0.5000
0.6258 0.8742 0.5000
0.8742 0.3742 0.5000
0.3742 0.1258 0.5000
0.0000 0.0000 0.0000
0.5000 0.5000 0.0000
```

Formation energy = 15.8 kJ per mole of atoms
Space-group type = P4/mbm (127)
Energy above the most stable polymorph in this dataset = 307 meV per atom
Crystal system = tetragonal
D(E_F) = 0.792 states/eV per atom
Energy = -1.826 eV/atom

---

No. 5
VASP calculation (PBE) on Rb2Tl2Au after structural relaxation.

Cell and atoms, written as POSCAR:
```
Rb2Tl2Au
1.0
-2.7788 0.5828 4.0465
3.7232 -1.9738 5.8605
1.8922 11.6471 2.6413
Rb Au Tl
4 2 4
direct
0.3529 0.6327 0.6615
0.0814 0.7127 0.1244
0.9186 0.2873 0.8756
0.6471 0.3673 0.3385
0.6437 0.0420 0.6707
0.3563 0.9580 0.3293
0.8698 0.8185 0.4420
0.1302 0.1815 0.5580
0.3766 0.1326 0.1142
0.6234 0.8674 0.8858
```

Formation energy = -13.9 kJ per mole of atoms
Space-group type = C2/m (12)
Energy above the most stable polymorph in this dataset = 0 meV per atom
Crystal system = monoclinic
D(E_F) = 0.570 states/eV per atom
Energy = -2.133 eV/atom

---

No. 6
VASP calculation (PBE) on RbTl3Au2 after structural relaxation.

Cell and atoms, written as POSCAR:
```
RbTl3Au2
1.0
-2.0773 -3.9533 1.4548
6.1106 -3.5460 6.6715
-1.6367 1.5454 9.4445
Rb Tl Au
2 6 4
direct
0.8584 0.1413 0.1420
0.1416 0.8587 0.8580
0.3382 0.8520 0.4717
0.3379 0.4712 0.8530
0.6621 0.5288 0.1470
0.0001 0.6670 0.3328
0.6618 0.1480 0.5283
0.9999 0.3330 0.6672
0.5001 0.8543 0.1455
0.4999 0.1457 0.8545
0.8360 0.6636 0.6643
0.1640 0.3364 0.3357
```

Formation energy = -11.4 kJ per mole of atoms
Space-group type = C2/m (12)
Energy above the most stable polymorph in this dataset = 0 meV per atom
Crystal system = monoclinic
D(E_F) = 0.419 states/eV per atom
Energy = -2.555 eV/atom

---

No. 7
VASP calculation (PBE) on Rb2TlAu3 after structural relaxation.

Cell and atoms, written as POSCAR:
```
Rb2TlAu3
1.0
-3.6601 -4.1813 -1.7871
3.6870 -4.7103 3.4694
-5.2294 1.3936 7.4494
Tl Rb Au
2 4 6
direct
0.7500 0.5000 0.9302
0.2500 0.5000 0.0698
0.7500 0.5000 0.3676
0.2500 0.5000 0.6324
0.2500 0.0000 0.8683
0.7500 0.0000 0.1317
0.2500 0.7907 0.2838
0.0000 0.0000 0.5000
0.7500 0.2093 0.7162
0.2500 0.2093 0.2838
0.7500 0.7907 0.7162
0.5000 0.0000 0.5000
```

Formation energy = -26.9 kJ per mole of atoms
Space-group type = Pmma (51)
Energy above the most stable polymorph in this dataset = 0 meV per atom
Crystal system = orthorhombic
D(E_F) = 0.150 states/eV per atom
Energy = -2.634 eV/atom

---

No. 8
VASP calculation (PBE) on Rb3Tl2Au2 after structural relaxation.

Cell and atoms, written as POSCAR:
```
Rb3Tl2Au2
1.0
-1.4296 2.9334 -6.4230
-1.1076 -8.4156 -3.5969
-15.7737 0.4815 3.7308
Rb Au Tl
12 8 8
direct
0.9069 0.3839 0.8910
0.3454 0.2371 0.7500
0.0931 0.8839 0.6090
0.9069 0.3839 0.6090
0.3454 0.2629 0.2500
0.6546 0.7629 0.2500
0.6546 0.7371 0.7500
0.0931 0.6161 0.3910
0.0931 0.6161 0.1090
0.9069 0.1161 0.3910
0.0931 0.8839 0.8910
0.9069 0.1161 0.1090
0.6322 0.7500 0.5000
0.8048 0.0953 0.7500
0.6322 0.7500 0.0000
0.1952 0.5953 0.7500
0.3678 0.2500 0.0000
0.1952 0.9047 0.2500
0.3678 0.2500 0.5000
0.8048 0.4047 0.2500
0.3964 0.5344 0.9120
0.6036 0.0344 0.5880
0.6036 0.0344 0.9120
0.3964 0.5344 0.5880
0.6036 0.4656 0.0880
0.3964 0.9656 0.4120
0.3964 0.9656 0.0880
0.6036 0.4656 0.4120
```

Formation energy = -17.6 kJ per mole of atoms
Space-group type = Pbcm (57)
Crystal system = orthorhombic
D(E_F) = 0.393 states/eV per atom
Energy = -2.210 eV/atom